1.
Here is a relaxed La2POs crystal from Alexandria. Energies are from PBE.

Structure (extended XYZ):
```
4
Lattice="3.293 -3.814 0.000 3.293 3.814 0.000 -0.013 0.000 3.670" Properties=species:S:1:pos:R:3 pbc="T T T"
La 1.647 1.907 0.000
La 1.647 -1.907 0.000
P -0.007 0.000 1.835
Os 3.287 0.000 1.835
```



2.
Here is a relaxed LaPOs2 crystal from Alexandria. Energies are from PBE.

Structure (extended XYZ):
```
4
Lattice="3.047 0.000 0.000 0.000 3.047 0.000 0.000 0.000 7.510" Properties=species:S:1:pos:R:3 pbc="T T T"
La 0.000 0.000 0.000
P 1.523 1.523 5.189
Os 0.000 0.000 3.974
Os 1.523 1.523 2.224
```



3.
Here is a relaxed LaPOs2 crystal from Alexandria. Energies are from PBE.

Structure (extended XYZ):
```
4
Lattice="2.984 0.000 0.000 0.000 2.984 0.000 0.000 0.000 7.663" Properties=species:S:1:pos:R:3 pbc="T T T"
La 0.000 0.000 0.000
P 0.000 0.000 3.831
Os 1.492 1.492 2.462
Os 1.492 1.492 5.201
```



4.
Here is a relaxed La2POs crystal from Alexandria. Energies are from PBE.

Structure (extended XYZ):
```
4
Lattice="2.088 1.206 7.166 -2.088 1.206 7.166 0.000 -2.411 7.166" Properties=species:S:1:pos:R:3 pbc="T T T"
La 0.000 0.000 5.376
La 0.000 0.000 16.122
P 0.000 0.000 0.000
Os 0.000 0.000 10.749
```



5.
Here is a relaxed La2POs crystal from Alexandria. Energies are from PBE.

Structure (extended XYZ):
```
4
Lattice="3.691 0.000 0.000 0.000 3.749 0.000 0.000 0.000 6.719" Properties=species:S:1:pos:R:3 pbc="T T T"
La 0.000 0.000 1.642
La 0.000 0.000 5.077
P 1.845 1.875 0.000
Os 1.845 1.875 3.359
```



6.
Here is a relaxed LaPOs2 crystal from Alexandria. Energies are from PBE.

Structure (extended XYZ):
```
4
Lattice="3.024 0.000 0.000 0.000 4.780 0.000 0.000 0.000 4.962" Properties=species:S:1:pos:R:3 pbc="T T T"
La 0.000 0.000 0.000
P 1.512 2.390 0.000
Os 0.000 2.390 2.481
Os 1.512 0.000 2.481
```



7.
Here is a relaxed LaPOs2 crystal from Alexandria. Energies are from PBE.

Structure (extended XYZ):
```
4
Lattice="3.997 0.000 0.000 0.000 3.997 0.000 0.000 0.000 4.566" Properties=species:S:1:pos:R:3 pbc="T T T"
La 0.000 0.000 0.000
P 1.998 1.998 0.000
Os 0.000 1.998 2.283
Os 1.998 0.000 2.283
```



8.
Here is a relaxed LaPOs2 crystal from Alexandria. Energies are from PBE.

Structure (extended XYZ):
```
4
Lattice="-2.106 2.106 3.971 2.106 -2.106 3.971 2.106 2.106 -3.971" Properties=species:S:1:pos:R:3 pbc="T T T"
La 0.000 0.000 0.000
P 0.000 0.000 3.971
Os 2.106 0.000 1.986
Os 0.000 2.106 1.986
```



9.
Here is a relaxed LaPOs2 crystal from Alexandria. Energies are from PBE.

Structure (extended XYZ):
```
4
Lattice="3.026 0.000 0.000 0.000 4.277 0.000 -1.085 0.000 5.784" Properties=species:S:1:pos:R:3 pbc="T T T"
La 0.000 0.000 0.000
P 0.459 2.138 4.021
Os 0.655 0.000 2.850
Os 2.040 2.138 2.155
```



10.
Here is a relaxed La4POs crystal from Alexandria. Energies are from PBE.

Structure (extended XYZ):
```
6
Lattice="0.000 4.321 4.321 4.321 0.000 4.321 4.321 4.321 0.000" Properties=species:S:1:pos:R:3 pbc="T T T"
La 1.077 1.077 1.077
La 3.244 3.244 1.077
La 3.244 1.077 3.244
La 1.077 3.244 3.244
P 4.321 4.321 4.321
Os 6.481 6.481 6.481
```



11.
Here is a relaxed LaPOs2 crystal from Alexandria. Energies are from PBE.

Structure (extended XYZ):
```
4
Lattice="5.122 -1.475 0.000 5.122 1.475 0.000 -2.393 0.000 4.983" Properties=species:S:1:pos:R:3 pbc="T T T"
La 0.000 0.000 0.000
P 3.926 0.000 2.491
Os 0.540 0.000 3.191
Os 7.311 0.000 1.792
```



12.
Here is a relaxed LaPOs2 crystal from Alexandria. Energies are from PBE.

Structure (extended XYZ):
```
4
Lattice="-1.537 2.565 4.620 1.537 -2.565 4.620 1.537 2.565 -4.620" Properties=species:S:1:pos:R:3 pbc="T T T"
La 0.000 0.000 0.000
P 1.537 0.000 2.497
Os 0.000 0.000 4.309
Os 0.000 2.565 1.875
```



no.,final energy (eV per formula unit),Fermi-level density of states (states/eV/cell),formation enthalpy at 0 K (kJ/mol of formula units)
1,-28.3,1.62,-170
2,-32.6,2.83,18
3,-32.0,5.30,73
4,-28.0,5.15,-142
5,-28.3,1.76,-179
6,-30.9,6.11,183
7,-31.0,4.65,174
8,-30.5,4.88,225
9,-33.1,3.72,-33
10,-31.9,9.24,429
11,-32.4,2.96,39
12,-31.7,3.05,107